Nd2Zn2GePd5: optimized geometry, PBE-GGA.

Calculated values
DOS(E_F): 8.8 states/eV per cell
theoretical density: 9.27 g/cm³
calculated total energy: -48.78 eV/f.u.

Lattice parameters (Å, degrees): 3.732 9.917 9.917 90.00 90.00 90.00
Sites, in units of the cell vectors:
Nd (0.000, 0.678, 0.178)
Nd (0.000, 0.322, 0.822)
Nd (0.000, 0.178, 0.322)
Nd (0.000, 0.822, 0.678)
Zn (0.000, 0.120, 0.620)
Zn (0.000, 0.880, 0.380)
Zn (0.000, 0.620, 0.880)
Zn (0.000, 0.380, 0.120)
Ge (0.000, 0.000, 0.000)
Ge (0.000, 0.500, 0.500)
Pd (0.500, 0.204, 0.061)
Pd (0.500, 0.796, 0.939)
Pd (0.500, 0.061, 0.796)
Pd (0.500, 0.704, 0.439)
Pd (0.500, 0.939, 0.204)
Pd (0.500, 0.296, 0.561)
Pd (0.500, 0.561, 0.704)
Pd (0.500, 0.439, 0.296)
Pd (0.500, 0.500, 0.000)
Pd (0.500, 0.000, 0.500)